Entry 1:
The following is a DFT calculation (PBE-GGA) of HoEr2Sc3 after structural relaxation.

a = 5.928 Å, b = 3.421 Å, c = 16.445 Å
α = 90.00°, β = 96.91°, γ = 90.00°
Positions (direct):
Ho (0.028, 0.250, 0.333)
Ho (0.972, 0.750, 0.667)
Er (0.250, 0.250, 0.000)
Er (0.472, 0.250, 0.667)
Er (0.528, 0.750, 0.333)
Er (0.750, 0.750, 0.000)
Sc (0.139, 0.750, 0.167)
Sc (0.250, 0.750, 0.500)
Sc (0.361, 0.750, 0.832)
Sc (0.639, 0.250, 0.168)
Sc (0.750, 0.250, 0.500)
Sc (0.861, 0.250, 0.833)

Properties
- Formation energy: 0.3 eV/f.u.
- Excess energy over the best structure of this formula in the dataset: 0 meV per atom
- Crystal system: monoclinic
- Fermi-level density of states: 9.70 states/eV/f.u.
- Final energy: -5.40 eV/atom


Entry 2:
The following is a DFT calculation (PBE-GGA) of BeRe2 after structural relaxation.

a = 5.481 Å, b = 5.481 Å, c = 5.353 Å
α = 114.52°, β = 114.52°, γ = 31.73°
Positions (direct):
Be (0.117, 0.117, 0.090)
Be (0.883, 0.883, 0.910)
Re (0.201, 0.201, 0.680)
Re (0.496, 0.496, 0.732)
Re (0.504, 0.504, 0.268)
Re (0.799, 0.799, 0.320)

Properties
- Formation energy: 0.2 eV/f.u.
- Excess energy over the best structure of this formula in the dataset: 334 meV per atom
- Crystal system: monoclinic
- Fermi-level density of states: 1.57 states/eV/f.u.
- Final energy: -9.48 eV/atom


Entry 3:
The following is a DFT calculation (PBE-GGA) of PaTlBi2O8 after structural relaxation.

a = 6.353 Å, b = 6.353 Å, c = 6.353 Å
α = 110.19°, β = 110.19°, γ = 108.04°
Positions (direct):
Pa (0.000, 0.000, 0.000)
Tl (0.250, 0.750, 0.500)
Bi (0.500, 0.500, 0.000)
Bi (0.750, 0.250, 0.500)
O (0.286, 0.099, 0.813)
O (0.286, 0.473, 0.187)
O (0.331, 0.035, 0.296)
O (0.527, 0.714, 0.813)
O (0.738, 0.035, 0.704)
O (0.901, 0.714, 0.187)
O (0.965, 0.262, 0.296)
O (0.965, 0.669, 0.704)

Properties
- Crystal system: tetragonal
- Formation energy (no corrections): -1.46 eV per atom
- Fermi-level density of states: 1.64 states/eV/f.u.
- Final energy: -6.40 eV/atom


Entry 4:
The following is a DFT calculation (PBE-GGA) of Nd2CoH6Ru after structural relaxation.

a = 5.179 Å, b = 5.179 Å, c = 5.179 Å
α = 119.85°, β = 119.85°, γ = 90.26°
Positions (direct):
Nd (0.250, 0.750, 0.500)
Nd (0.750, 0.250, 0.500)
Co (0.000, 0.000, 0.000)
H (0.242, 0.242, 0.485)
H (0.243, 0.243, 0.000)
H (0.243, 0.758, 0.000)
H (0.757, 0.242, 0.000)
H (0.757, 0.757, 0.000)
H (0.758, 0.758, 0.515)
Ru (0.500, 0.500, 0.000)

Properties
- Crystal system: tetragonal
- Fermi-level density of states: 2.97 states/eV/f.u.
- Final energy: -5.03 eV/atom